[1]
A plane-wave DFT calculation with PBE was carried out for crystalline SrUCuO5 at its relaxed geometry.

```
SrUCuO5
1.0
3.338 -4.914 0.000
3.338 4.914 0.000
-2.860 0.000 7.476
Sr U Cu O
2 2 2 10
direct
0.171 0.829 0.750
0.829 0.171 0.250
0.500 0.500 0.000
0.500 0.500 0.500
0.177 0.823 0.250
0.823 0.177 0.750
0.139 0.221 0.919
0.221 0.139 0.419
0.222 0.618 0.405
0.382 0.778 0.095
0.423 0.577 0.750
0.577 0.423 0.250
0.618 0.222 0.905
0.778 0.382 0.595
0.779 0.861 0.581
0.861 0.779 0.081
```

Results
Calculated volume: 15.33 A^3/atom
Formation energy (no corrections): -19.63 eV/f.u.
SG: C2/c

=====

[2]
A plane-wave DFT calculation with PBE was carried out for crystalline SrUCuO6 at its relaxed geometry.

```
SrUCuO6
1.0
5.320 0.000 0.000
-2.660 4.608 0.000
0.000 0.000 10.979
Sr U Cu O
2 2 2 12
direct
0.000 0.000 0.000
0.000 0.000 0.500
0.333 0.667 0.250
0.667 0.333 0.750
0.333 0.667 0.750
0.667 0.333 0.250
0.013 0.376 0.647
0.013 0.637 0.853
0.363 0.376 0.853
0.363 0.987 0.647
0.376 0.013 0.147
0.376 0.363 0.353
0.624 0.637 0.647
0.624 0.987 0.853
0.637 0.013 0.353
0.637 0.624 0.147
0.987 0.363 0.147
0.987 0.624 0.353
```

Results
Calculated volume: 14.95 A^3/atom
Formation energy (no corrections): -18.83 eV/f.u.
SG: P-31c

=====

no.,Fermi-level density of states (states/eV/cell)
1,6.06
2,10.74